# PBE Pm5MgIr3, optimized geometry
data_Pm5MgIr3
_chemical_formula_sum 'Pm10 Mg2 Ir6'
_cell_length_a 6.7039
_cell_length_b 8.7043
_cell_length_c 8.7006
_cell_angle_alpha 120.01
_cell_angle_beta 90.00
_cell_angle_gamma 90.00
_symmetry_space_group_name_H-M 'P 1'
_symmetry_Int_Tables_number 1
_symmetry_space_group_name_Hall 'P 1'
loop_
_atom_site_label
_atom_site_type_symbol
_atom_site_fract_x
_atom_site_fract_y
_atom_site_fract_z
Ir1 Ir 0.2500 0.6309 0.6308
Pm1 Pm 0.2500 0.3030 0.3029
Mg1 Mg 0.5000 0.0000 0.0000
Pm2 Pm 0.2500 0.0001 0.6971
Pm3 Pm 0.0000 0.3333 0.6667
Ir2 Ir 0.7500 0.6307 0.0000
Ir3 Ir 0.2500 0.0001 0.3692
Pm4 Pm 0.5000 0.6667 0.3333
Pm5 Pm 0.5000 0.3333 0.6667
Ir4 Ir 0.2500 0.3693 0.0000
Pm6 Pm 0.7500 0.3028 0.0000
Pm7 Pm 0.0000 0.6667 0.3333
Ir5 Ir 0.7500 0.9999 0.6308
Pm8 Pm 0.7500 0.9999 0.3029
Ir6 Ir 0.7500 0.3691 0.3692
Mg2 Mg 0.0000 0.0000 0.0000
Pm9 Pm 0.2500 0.6972 0.0000
Pm10 Pm 0.7500 0.6970 0.6971
# DFT total energy   -110.8 eV/cell

***

# PBE Ho8Er6Mg, optimized geometry
data_Ho8Er6Mg
_chemical_formula_sum 'Ho8 Er6 Mg1'
_cell_length_a 8.9209
_cell_length_b 8.9209
_cell_length_c 8.4677
_cell_angle_alpha 58.21
_cell_angle_beta 58.21
_cell_angle_gamma 60.00
_symmetry_space_group_name_H-M 'P 1'
_symmetry_Int_Tables_number 1
_symmetry_space_group_name_Hall 'P 1'
loop_
_atom_site_label
_atom_site_type_symbol
_atom_site_fract_x
_atom_site_fract_y
_atom_site_fract_z
Er1 Er 0.7735 0.4529 0.8842
Ho1 Ho 0.2563 0.2825 0.5691
Er2 Er 0.4529 0.8894 0.8842
Ho2 Ho 0.1080 0.7437 0.4309
Er3 Er 0.8894 0.7735 0.8842
Ho3 Ho 0.4241 0.4241 0.7277
Ho4 Ho 0.8920 0.2563 0.5691
Mg1 Mg 0.0000 0.0000 0.0000
Ho5 Ho 0.7175 0.1080 0.4309
Er4 Er 0.2265 0.5471 0.1158
Ho6 Ho 0.2825 0.8920 0.5691
Er5 Er 0.1106 0.2265 0.1158
Ho7 Ho 0.7437 0.7175 0.4309
Ho8 Ho 0.5759 0.5759 0.2723
Er6 Er 0.5471 0.1106 0.1158
# ΔE to the lowest computed polymorph   0 meV per atom

***

# PBE Tb9Dy2Tm, optimized geometry
data_Tb9Dy2Tm
_chemical_formula_sum 'Tb9 Dy2 Tm1'
_cell_length_a 5.0134
_cell_length_b 5.0134
_cell_length_c 15.0364
_cell_angle_alpha 90.00
_cell_angle_beta 90.00
_cell_angle_gamma 90.00
_symmetry_space_group_name_H-M 'P 1'
_symmetry_Int_Tables_number 1
_symmetry_space_group_name_Hall 'P 1'
loop_
_atom_site_label
_atom_site_type_symbol
_atom_site_fract_x
_atom_site_fract_y
_atom_site_fract_z
Tb1 Tb 0.5000 0.5000 0.3328
Tb2 Tb 0.0000 0.5000 0.8341
Tb3 Tb 0.5000 0.0000 0.8341
Tb4 Tb 0.5000 0.5000 0.6672
Tm1 Tm 0.0000 0.0000 0.0000
Tb5 Tb 0.5000 0.0000 0.1659
Tb6 Tb 0.5000 0.5000 0.0000
Tb7 Tb 0.0000 0.5000 0.1659
Dy1 Dy 0.0000 0.0000 0.6672
Dy2 Dy 0.0000 0.0000 0.3328
Tb8 Tb 0.0000 0.5000 0.5000
Tb9 Tb 0.5000 0.0000 0.5000
# ΔE to the lowest computed polymorph   0 meV per atom

***

# PBE Tb12Pm2Y5, optimized geometry
data_Tb12Pm2Y5
_chemical_formula_sum 'Tb12 Pm2 Y5'
_cell_length_a 6.1877
_cell_length_b 10.7143
_cell_length_c 12.8767
_cell_angle_alpha 133.81
_cell_angle_beta 94.61
_cell_angle_gamma 84.52
_symmetry_space_group_name_H-M 'P 1'
_symmetry_Int_Tables_number 1
_symmetry_space_group_name_Hall 'P 1'
loop_
_atom_site_label
_atom_site_type_symbol
_atom_site_fract_x
_atom_site_fract_y
_atom_site_fract_z
Tb1 Tb 0.7893 0.4205 0.6583
Y1 Y 0.0000 0.0000 0.5000
Tb2 Tb 0.0534 0.8953 0.7103
Tb3 Tb 0.3162 0.3676 0.7628
Tb4 Tb 0.5254 0.9476 0.6047
Y2 Y 0.8407 0.3165 0.8688
Pm1 Pm 0.5799 0.8426 0.8158
Tb5 Tb 0.6315 0.7360 0.0260
Tb6 Tb 0.8956 0.2121 0.0796
Tb7 Tb 0.3685 0.2640 0.9740
Y3 Y 0.1593 0.6835 0.1312
Y4 Y 0.2625 0.4727 0.5527
Tb8 Tb 0.6838 0.6324 0.2372
Tb9 Tb 0.9466 0.1047 0.2897
Tb10 Tb 0.1044 0.7879 0.9204
Tb11 Tb 0.4746 0.0524 0.3953
Pm2 Pm 0.4201 0.1574 0.1842
Tb12 Tb 0.2107 0.5795 0.3417
Y5 Y 0.7375 0.5273 0.4473
# ΔE to the lowest computed polymorph   0 meV per atom

***

# PBE LaCrAuN2, optimized geometry
data_LaCrAuN2
_chemical_formula_sum 'La1 Cr1 Au1 N2'
_cell_length_a 3.9390
_cell_length_b 5.5077
_cell_length_c 3.9390
_cell_angle_alpha 90.00
_cell_angle_beta 90.00
_cell_angle_gamma 90.00
_symmetry_space_group_name_H-M 'P 1'
_symmetry_Int_Tables_number 1
_symmetry_space_group_name_Hall 'P 1'
loop_
_atom_site_label
_atom_site_type_symbol
_atom_site_fract_x
_atom_site_fract_y
_atom_site_fract_z
N1 N 0.0000 0.0000 0.5000
La1 La 0.0000 0.5000 0.0000
N2 N 0.5000 0.0000 0.0000
Cr1 Cr 0.0000 0.0000 0.0000
Au1 Au 0.5000 0.5000 0.5000
# Uncorrected formation energy   0.544 eV/atom

***

# PBE GaTe4Pb3, optimized geometry
data_GaTe4Pb3
_chemical_formula_sum 'Ga2 Te8 Pb6'
_cell_length_a 6.5473
_cell_length_b 9.8617
_cell_length_c 9.7354
_cell_angle_alpha 90.00
_cell_angle_beta 90.00
_cell_angle_gamma 90.00
_symmetry_space_group_name_H-M 'P 1'
_symmetry_Int_Tables_number 1
_symmetry_space_group_name_Hall 'P 1'
loop_
_atom_site_label
_atom_site_type_symbol
_atom_site_fract_x
_atom_site_fract_y
_atom_site_fract_z
Te1 Te 0.5757 0.1968 0.0000
Te2 Te 0.5792 0.6701 0.7426
Pb1 Pb 0.0698 0.1328 0.5000
Pb2 Pb 0.0664 0.6619 0.2175
Te3 Te 0.0792 0.3299 0.7574
Pb3 Pb 0.5664 0.3381 0.2825
Pb4 Pb 0.0664 0.6619 0.7825
Ga1 Ga 0.4997 0.8098 0.5000
Te4 Te 0.5792 0.6701 0.2574
Te5 Te 0.0787 0.9150 0.0000
Te6 Te 0.0792 0.3299 0.2426
Pb5 Pb 0.5698 0.8672 0.0000
Pb6 Pb 0.5664 0.3381 0.7175
Te7 Te 0.0757 0.8032 0.5000
Te8 Te 0.5787 0.0850 0.5000
Ga2 Ga 0.9997 0.1902 0.0000
# Uncorrected formation energy   -0.263 eV/atom

***

# PBE Ta3BiIr, optimized geometry
data_Ta3BiIr
_chemical_formula_sum 'Ta3 Bi1 Ir1'
_cell_length_a 5.0135
_cell_length_b 5.0135
_cell_length_c 5.0135
_cell_angle_alpha 90.00
_cell_angle_beta 90.00
_cell_angle_gamma 90.00
_symmetry_space_group_name_H-M 'P 1'
_symmetry_Int_Tables_number 1
_symmetry_space_group_name_Hall 'P 1'
loop_
_atom_site_label
_atom_site_type_symbol
_atom_site_fract_x
_atom_site_fract_y
_atom_site_fract_z
Ir1 Ir 0.5000 0.5000 0.5000
Ta1 Ta 0.0000 0.0000 0.5000
Bi1 Bi 0.0000 0.0000 0.0000
Ta2 Ta 0.0000 0.5000 0.0000
Ta3 Ta 0.5000 0.0000 0.0000
# ΔE to the lowest computed polymorph   1758 meV per atom

***

# PBE RbPrCuCl5, optimized geometry
data_RbPrCuCl5
_chemical_formula_sum 'Rb2 Pr2 Cu2 Cl10'
_cell_length_a 7.5711
_cell_length_b 7.5711
_cell_length_c 10.3184
_cell_angle_alpha 103.37
_cell_angle_beta 103.37
_cell_angle_gamma 106.83
_symmetry_space_group_name_H-M 'P 1'
_symmetry_Int_Tables_number 1
_symmetry_space_group_name_Hall 'P 1'
loop_
_atom_site_label
_atom_site_type_symbol
_atom_site_fract_x
_atom_site_fract_y
_atom_site_fract_z
Cl1 Cl 0.2424 0.3865 0.5802
Cl2 Cl 0.3120 0.9034 0.6190
Cl3 Cl 0.0848 0.9152 0.2500
Rb1 Rb 0.3523 0.6477 0.2500
Cl4 Cl 0.6135 0.7576 0.9198
Cu1 Cu 0.6888 0.3112 0.2500
Pr1 Pr 0.0000 0.0000 0.5000
Cl5 Cl 0.3865 0.2424 0.0802
Pr2 Pr 0.0000 0.0000 0.0000
Cl6 Cl 0.9152 0.0848 0.7500
Cl7 Cl 0.7576 0.6135 0.4198
Rb2 Rb 0.6477 0.3523 0.7500
Cl8 Cl 0.0966 0.6880 0.8810
Cl9 Cl 0.9034 0.3120 0.1190
Cl10 Cl 0.6880 0.0966 0.3810
Cu2 Cu 0.3112 0.6888 0.7500
# Uncorrected formation energy   -1.729 eV/atom